(1)
The following is a meta-GGA SCAN calculation of As2IrBrO at its PBEsol-relaxed geometry, from the Alexandria database.

SG: P4/mmm, No. 123
Crystal system: tetragonal
DOS(E_F) in states/eV/atom: 0.38
VASP energy in eV per atom: -26.541

Lattice parameters (Å, degrees): 4.0367 4.0367 5.0720 90.00 90.00 90.00
With the nearest neighbours (Å) after each atom.
Positions (direct):
Br  0.0000  0.0000  0.5000  2 O 2.54
As  0.0000  0.5000  0.0000  2 O 2.02
O  0.0000  0.0000  0.0000  4 As 2.02
As  0.5000  0.0000  0.0000  2 O 2.02
Ir  0.5000  0.5000  0.5000  4 Br 2.85

(2)
The following is a meta-GGA SCAN calculation of As2IrRhBr at its PBEsol-relaxed geometry, from the Alexandria database.

SG: P4/mmm, No. 123
Crystal system: tetragonal
DOS(E_F) in states/eV/atom: 0.72
VASP energy in eV per atom: -31.814

Lattice parameters (Å, degrees): 4.5978 4.5978 4.8931 90.00 90.00 90.00
With the nearest neighbours (Å) after each atom.
Positions (direct):
Rh  0.0000  0.0000  0.0000  4 As 2.30, 2 Br 2.45
As  0.0000  0.5000  0.0000  2 Rh 2.30
Br  0.0000  0.0000  0.5000  2 Rh 2.45
Ir  0.5000  0.5000  0.5000  4 Br 3.25, 8 As 3.36
As  0.5000  0.0000  0.0000  2 Rh 2.30

(3)
The following is a meta-GGA SCAN calculation of SbAsIrBr2 at its PBEsol-relaxed geometry, from the Alexandria database.

SG: P4/mmm, No. 123
Crystal system: tetragonal
DOS(E_F) in states/eV/atom: 0.65
VASP energy in eV per atom: -32.994

Lattice parameters (Å, degrees): 4.7069 5.0430 5.0430 90.00 90.00 90.00
With the nearest neighbours (Å) after each atom.
Positions (direct):
Br  0.0000  0.5000  0.0000  2 Ir 2.52
Sb  0.5000  0.5000  0.5000  8 Br 3.45, 4 As 3.57
Br  0.0000  0.0000  0.5000  2 Ir 2.52
Ir  0.0000  0.0000  0.0000  2 As 2.35, 4 Br 2.52
As  0.5000  0.0000  0.0000  2 Ir 2.35

(4)
The following is a meta-GGA SCAN calculation of ZrAs2IrBr at its PBEsol-relaxed geometry, from the Alexandria database.

SG: P4/mmm, No. 123
Crystal system: tetragonal
DOS(E_F) in states/eV/atom: 0.76
VASP energy in eV per atom: -31.097

Lattice parameters (Å, degrees): 4.5852 4.8630 4.8630 90.00 90.00 90.00
With the nearest neighbours (Å) after each atom.
Positions (direct):
As  0.0000  0.5000  0.0000  2 Br 2.43
Zr  0.5000  0.5000  0.5000  8 As 3.34, 4 Ir 3.44
Br  0.0000  0.0000  0.0000  2 Ir 2.29, 4 As 2.43
As  0.0000  0.0000  0.5000  2 Br 2.43
Ir  0.5000  0.0000  0.0000  2 Br 2.29

(5)
The following is a meta-GGA SCAN calculation of K2AsBr at its PBEsol-relaxed geometry, from the Alexandria database.

SG: Amm2, No. 38
Crystal system: orthorhombic
DOS(E_F) in states/eV/atom: 0.55
VASP energy in eV per atom: -14.862

Lattice parameters (Å, degrees): 3.4904 5.7446 6.4753 90.00 105.64 90.00
With the nearest neighbours (Å) after each atom.
Positions (direct):
K  0.0101  0.0000  0.0203  3 Br 3.36, 4 As 3.36, 2 K 3.49
As  0.5055  0.5000  0.0110  7 K 3.27-3.44, 2 As 3.49
K  0.2436  0.5000  0.4872  3 As 3.27-3.44, 4 Br 3.36, 2 K 3.49
Br  0.7407  0.0000  0.4815  7 K 3.36, 2 Br 3.49

(6)
The following is a meta-GGA SCAN calculation of KAs2Br at its PBEsol-relaxed geometry, from the Alexandria database.

SG: Fmmm, No. 69
Crystal system: orthorhombic
DOS(E_F) in states/eV/atom: 0.57
Distance to the lowest polymorph of the same formula in eV/f.u.: 0.000

Lattice parameters (Å, degrees): 4.0035 4.0035 7.3531 105.65 105.65 90.52
With the nearest neighbours (Å) after each atom.
Positions (direct):
Br  0.0000  0.0000  0.0000  4 K 2.82-2.84
K  0.5000  0.5000  0.0000  4 Br 2.82-2.84
As  0.5000  0.0000  0.5000  4 As 2.82-2.84
As  0.0000  0.5000  0.5000  4 As 2.82-2.84

(7)
The following is a meta-GGA SCAN calculation of KAs2Br at its PBEsol-relaxed geometry, from the Alexandria database.

SG: P4/mmm, No. 123
Crystal system: tetragonal
DOS(E_F) in states/eV/atom: 0.56
Distance to the lowest polymorph of the same formula in eV/f.u.: 2.902

Lattice parameters (Å, degrees): 3.1998 3.1998 9.0410 90.00 90.00 90.00
With the nearest neighbours (Å) after each atom.
Positions (direct):
As  0.0000  0.0000  0.7790  4 Br 3.02, 4 As 3.20
Br  0.5000  0.5000  0.0000  8 As 3.02, 4 Br 3.20
As  0.0000  0.0000  0.2210  4 Br 3.02, 4 As 3.20
K  0.5000  0.5000  0.5000  4 K 3.20, 8 As 3.39

(8)
The following is a meta-GGA SCAN calculation of K3AsBr6 at its PBEsol-relaxed geometry, from the Alexandria database.

SG: Fm-3m, No. 225
Crystal system: cubic
DOS(E_F) in states/eV/atom: 0.00
VASP energy in eV per atom: -17.477

Lattice parameters (Å, degrees): 7.9808 7.9808 7.9808 60.00 60.00 60.00
With the nearest neighbours (Å) after each atom.
Positions (direct):
As  0.0000  0.0000  0.0000  6 Br 2.62
Br  0.7683  0.2317  0.2317  1 As 2.62
K  0.7500  0.7500  0.7500  12 Br 4.00
Br  0.7683  0.7683  0.2317  1 As 2.62
K  0.2500  0.2500  0.2500  12 Br 4.00
Br  0.2317  0.7683  0.7683  1 As 2.62
Br  0.2317  0.7683  0.2317  1 As 2.62
Br  0.7683  0.2317  0.7683  1 As 2.62
Br  0.2317  0.2317  0.7683  1 As 2.62
K  0.5000  0.5000  0.5000  6 Br 3.03

(9)
The following is a meta-GGA SCAN calculation of KLaAsBr2 at its PBEsol-relaxed geometry, from the Alexandria database.

SG: P4/mmm, No. 123
Crystal system: tetragonal
DOS(E_F) in states/eV/atom: 0.84
VASP energy in eV per atom: -23.478

Lattice parameters (Å, degrees): 5.5161 5.8505 5.8505 90.00 90.00 90.00
With the nearest neighbours (Å) after each atom.
Positions (direct):
Br  0.0000  0.0000  0.5000  2 La 2.93
As  0.5000  0.0000  0.0000  2 La 2.76
Br  0.0000  0.5000  0.0000  2 La 2.93
K  0.5000  0.5000  0.5000  8 Br 4.02, 4 As 4.14
La  0.0000  0.0000  0.0000  2 As 2.76, 4 Br 2.93

(10)
The following is a meta-GGA SCAN calculation of KNaAs2Br at its PBEsol-relaxed geometry, from the Alexandria database.

SG: P4/mmm, No. 123
Crystal system: tetragonal
DOS(E_F) in states/eV/atom: 0.39
VASP energy in eV per atom: -14.462

Lattice parameters (Å, degrees): 5.1677 5.1677 5.7719 90.00 90.00 90.00
With the nearest neighbours (Å) after each atom.
Positions (direct):
As  0.5000  0.0000  0.0000  2 Na 2.58
As  0.0000  0.5000  0.0000  2 Na 2.58
Br  0.0000  0.0000  0.5000  2 Na 2.89
K  0.5000  0.5000  0.5000  4 Br 3.65, 8 As 3.87
Na  0.0000  0.0000  0.0000  4 As 2.58, 2 Br 2.89

(11)
The following is a meta-GGA SCAN calculation of K2NaAsBr6 at its PBEsol-relaxed geometry, from the Alexandria database.

SG: Fm-3m, No. 225
Crystal system: cubic
DOS(E_F) in states/eV/atom: 0.00
VASP energy in eV per atom: -17.063

Lattice parameters (Å, degrees): 7.6822 7.6822 7.6822 60.00 60.00 60.00
With the nearest neighbours (Å) after each atom.
Positions (direct):
Br  0.2406  0.7594  0.2406  1 As 2.61, 1 Na 2.82
Br  0.2406  0.2406  0.7594  1 As 2.61, 1 Na 2.82
Br  0.7594  0.2406  0.2406  1 As 2.61, 1 Na 2.82
K  0.2500  0.2500  0.2500  12 Br 3.84
Br  0.7594  0.7594  0.2406  1 As 2.61, 1 Na 2.82
Br  0.7594  0.2406  0.7594  1 As 2.61, 1 Na 2.82
As  0.0000  0.0000  0.0000  6 Br 2.61
K  0.7500  0.7500  0.7500  12 Br 3.84
Na  0.5000  0.5000  0.5000  6 Br 2.82
Br  0.2406  0.7594  0.7594  1 As 2.61, 1 Na 2.82

(12)
The following is a meta-GGA SCAN calculation of KAsPdBr2 at its PBEsol-relaxed geometry, from the Alexandria database.

SG: P4/mmm, No. 123
Crystal system: tetragonal
DOS(E_F) in states/eV/atom: 2.11
VASP energy in eV per atom: -19.330

Lattice parameters (Å, degrees): 5.7922 5.7922 5.9025 90.00 90.00 90.00
With the nearest neighbours (Å) after each atom.
Positions (direct):
As  0.0000  0.0000  0.5000  2 K 2.95
K  0.0000  0.0000  0.0000  4 Br 2.90, 2 As 2.95
Br  0.5000  0.0000  0.0000  2 K 2.90
Pd  0.5000  0.5000  0.5000  4 As 4.10, 8 Br 4.13
Br  0.0000  0.5000  0.0000  2 K 2.90

(13)
The following is a meta-GGA SCAN calculation of KAsPtBr2 at its PBEsol-relaxed geometry, from the Alexandria database.

SG: P4/mmm, No. 123
Crystal system: tetragonal
DOS(E_F) in states/eV/atom: 0.64
VASP energy in eV per atom: -26.400

Lattice parameters (Å, degrees): 5.5962 5.5962 5.8929 90.00 90.00 90.00
With the nearest neighbours (Å) after each atom.
Positions (direct):
As  0.0000  0.0000  0.5000  2 K 2.95
Br  0.0000  0.5000  0.0000  2 K 2.80
Pt  0.5000  0.5000  0.5000  4 As 3.96, 8 Br 4.06
K  0.0000  0.0000  0.0000  4 Br 2.80, 2 As 2.95
Br  0.5000  0.0000  0.0000  2 K 2.80

(14)
The following is a meta-GGA SCAN calculation of K2RbAsBr6 at its PBEsol-relaxed geometry, from the Alexandria database.

SG: Fm-3m, No. 225
Crystal system: cubic
DOS(E_F) in states/eV/atom: 0.00
VASP energy in eV per atom: -18.697

Lattice parameters (Å, degrees): 8.1427 8.1427 8.1427 60.00 60.00 60.00
With the nearest neighbours (Å) after each atom.
Positions (direct):
Br  0.2274  0.7726  0.2274  1 As 2.62
Br  0.2274  0.2274  0.7726  1 As 2.62
Br  0.2274  0.7726  0.7726  1 As 2.62
K  0.7500  0.7500  0.7500  12 Br 4.08
Br  0.7726  0.7726  0.2274  1 As 2.62
Br  0.7726  0.2274  0.7726  1 As 2.62
As  0.0000  0.0000  0.0000  6 Br 2.62
K  0.2500  0.2500  0.2500  12 Br 4.08
Br  0.7726  0.2274  0.2274  1 As 2.62
Rb  0.5000  0.5000  0.5000  6 Br 3.14

(15)
The following is a meta-GGA SCAN calculation of KAs2SBr at its PBEsol-relaxed geometry, from the Alexandria database.

SG: P4/mmm, No. 123
Crystal system: tetragonal
DOS(E_F) in states/eV/atom: 0.45
VASP energy in eV per atom: -15.616

Lattice parameters (Å, degrees): 4.6779 4.6779 7.5240 90.00 90.00 90.00
With the nearest neighbours (Å) after each atom.
Positions (direct):
As  0.5000  0.0000  0.0000  2 S 2.34
As  0.0000  0.5000  0.0000  2 S 2.34
S  0.0000  0.0000  0.0000  4 As 2.34
Br  0.0000  0.0000  0.5000  4 K 3.31
K  0.5000  0.5000  0.5000  4 Br 3.31

(16)
The following is a meta-GGA SCAN calculation of KSrAs2Br at its PBEsol-relaxed geometry, from the Alexandria database.

SG: P4/mmm, No. 123
Crystal system: tetragonal
DOS(E_F) in states/eV/atom: 0.45
VASP energy in eV per atom: -18.438

Lattice parameters (Å, degrees): 5.8286 5.8286 5.8809 90.00 90.00 90.00
With the nearest neighbours (Å) after each atom.
Positions (direct):
Sr  0.0000  0.0000  0.0000  4 As 2.91, 2 Br 2.94
K  0.5000  0.5000  0.5000  4 Br 4.12, 8 As 4.14
As  0.0000  0.5000  0.0000  2 Sr 2.91
As  0.5000  0.0000  0.0000  2 Sr 2.91
Br  0.0000  0.0000  0.5000  2 Sr 2.94

(17)
The following is a meta-GGA SCAN calculation of KTcAsBr2 at its PBEsol-relaxed geometry, from the Alexandria database.

SG: P4/mmm, No. 123
Crystal system: tetragonal
DOS(E_F) in states/eV/atom: 0.47
VASP energy in eV per atom: -20.923

Lattice parameters (Å, degrees): 4.6624 5.3273 5.3273 90.00 90.00 90.00
With the nearest neighbours (Å) after each atom.
Positions (direct):
Tc  0.0000  0.0000  0.0000  2 As 2.33
Br  0.0000  0.5000  0.0000  2 Tc 2.66
Br  0.0000  0.0000  0.5000  2 Tc 2.66
As  0.5000  0.0000  0.0000  2 Tc 2.33
K  0.5000  0.5000  0.5000  8 Br 3.54, 4 As 3.77

(18)
The following is a meta-GGA SCAN calculation of K2TlAsBr6 at its PBEsol-relaxed geometry, from the Alexandria database.

SG: Fm-3m, No. 225
Crystal system: cubic
VASP energy in eV per atom: -23.688

Lattice parameters (Å, degrees): 7.9443 7.9443 7.9443 60.00 60.00 60.00
With the nearest neighbours (Å) after each atom.
Positions (direct):
Br  0.7664  0.2336  0.2336  1 As 2.62
Br  0.7664  0.2336  0.7664  1 As 2.62
K  0.7500  0.7500  0.7500  12 Br 3.98
Br  0.2336  0.7664  0.7664  1 As 2.62
Br  0.2336  0.7664  0.2336  1 As 2.62
As  0.0000  0.0000  0.0000  6 Br 2.62
Tl  0.5000  0.5000  0.5000  6 Br 2.99
Br  0.7664  0.7664  0.2336  1 As 2.62
Br  0.2336  0.2336  0.7664  1 As 2.62
K  0.2500  0.2500  0.2500  12 Br 3.98

(19)
The following is a meta-GGA SCAN calculation of LaAs2Br at its PBEsol-relaxed geometry, from the Alexandria database.

SG: R-3m, No. 166
Crystal system: trigonal
DOS(E_F) in states/eV/atom: 1.06
VASP energy in eV per atom: -26.112

Lattice parameters (Å, degrees): 5.2932 5.2932 5.1128 58.83 58.83 60.00
With the nearest neighbours (Å) after each atom.
Positions (direct):
La  0.0000  0.0000  0.0000  6 As 3.11
As  0.2858  0.2858  0.1425  1 Br 2.63
As  0.7142  0.7142  0.8575  1 Br 2.63
Br  0.5000  0.5000  0.5000  2 As 2.63

(20)
The following is a meta-GGA SCAN calculation of LaMgAsBr2 at its PBEsol-relaxed geometry, from the Alexandria database.

SG: P4/mmm, No. 123
Crystal system: tetragonal
VASP energy in eV per atom: -22.605

Lattice parameters (Å, degrees): 4.8840 4.8840 5.4709 90.00 90.00 90.00
With the nearest neighbours (Å) after each atom.
Positions (direct):
Br  0.5000  0.0000  0.0000  2 Mg 2.44
Mg  0.0000  0.0000  0.0000  4 Br 2.44
Br  0.0000  0.5000  0.0000  2 Mg 2.44
As  0.0000  0.0000  0.5000  2 Mg 2.74
La  0.5000  0.5000  0.5000  4 As 3.45, 8 Br 3.67